The following is a DFT calculation (GGA-PBE) of a relaxed MgScZn2F crystal.

Properties
The theoretical density comes out at 3.1 Mg/m³. For the uncorrected formation energy, the calculation gives -0.611 eV per atom. The value obtained for the distance to the lowest polymorph of the same formula is 0.00 kcal/mol of atoms. As for the density of states at the Fermi level: 3.24 states/eV/cell.

Cell: 5.509 3.917 5.509 Å, 90.00 90.00 90.00°
Fractional coordinates of all 5 atoms:
Sc  0.000  0.000  0.000
Zn  0.000  0.000  0.500
Zn  0.500  0.000  0.000
Mg  0.500  0.500  0.500
F  0.000  0.500  0.000

The following is a DFT calculation (GGA-PBE) of a relaxed La2InRe crystal.

Properties
As for the formation energy: 253 meV per atom. The theoretical density comes out at 9.8 Mg/m³. As for the density of states at the Fermi level: 3.15 states/eV/cell.

Cell: 3.682 3.682 7.202 Å, 90.00 90.00 90.00°
Fractional coordinates of all 4 atoms:
In  0.500  0.500  0.709
La  0.000  0.000  0.986
La  0.500  0.500  0.280
Re  0.000  0.000  0.525

- What is the theoretical density in the first record?
  3.1 Mg/m³

- Which of these has the lowest theoretical density?
  MgScZn2F